Record 1
The following is a PBE calculation of La2ClO2 after structural relaxation, from Alexandria via LeMat-Bulk.

```
data_La2ClO2
_chemical_formula_sum 'La4 Cl2 O4'
_cell_length_a 4.1025
_cell_length_b 4.1025
_cell_length_c 14.6541
_cell_angle_alpha 90.00
_cell_angle_beta 90.00
_cell_angle_gamma 120.00
_symmetry_space_group_name_H-M 'P 1'
_symmetry_Int_Tables_number 1
loop_
_symmetry_equiv_pos_as_xyz
'x,y,z'
loop_
_atom_site_label
_atom_site_type_symbol
_atom_site_fract_x
_atom_site_fract_y
_atom_site_fract_z
La1 La 0.3333 0.6667 0.0951
La2 La 0.3333 0.6667 0.4049
La3 La 0.6667 0.3333 0.5951
La4 La 0.6667 0.3333 0.9049
Cl1 Cl 0.0000 0.0000 0.2500
Cl2 Cl 0.0000 0.0000 0.7500
O1 O 0.3333 0.6667 0.5676
O2 O 0.3333 0.6667 0.9324
O3 O 0.6667 0.3333 0.0676
O4 O 0.6667 0.3333 0.4324
```

relative energy among the computed polymorphs	0.0000	eV per atom
D(E_F)	0.29	states/eV/atom
volume	213.6	Å³/cell
E_form (uncorrected)	-2.99	eV/atom

---

Record 2
The following is a PBE calculation of LaCl3O after structural relaxation, from Alexandria via LeMat-Bulk.

```
data_LaCl3O
_chemical_formula_sum 'La1 Cl3 O1'
_cell_length_a 5.5759
_cell_length_b 5.5759
_cell_length_c 5.5759
_cell_angle_alpha 90.00
_cell_angle_beta 90.00
_cell_angle_gamma 90.00
_symmetry_space_group_name_H-M 'P 1'
_symmetry_Int_Tables_number 1
loop_
_symmetry_equiv_pos_as_xyz
'x,y,z'
loop_
_atom_site_label
_atom_site_type_symbol
_atom_site_fract_x
_atom_site_fract_y
_atom_site_fract_z
La1 La 0.0000 0.0000 0.0000
Cl1 Cl 0.0000 0.0000 0.5000
Cl2 Cl 0.0000 0.5000 0.0000
Cl3 Cl 0.5000 0.0000 0.0000
O1 O 0.5000 0.5000 0.5000
```

relative energy among the computed polymorphs	0.0000	eV per atom
D(E_F)	5.37	states/eV/atom
volume	173.4	Å³/cell
E_form (uncorrected)	-1.20	eV/atom

---

Record 3
The following is a PBE calculation of La3ClO after structural relaxation, from Alexandria via LeMat-Bulk.

```
data_La3ClO
_chemical_formula_sum 'La3 Cl1 O1'
_cell_length_a 5.3295
_cell_length_b 5.3295
_cell_length_c 5.3295
_cell_angle_alpha 90.00
_cell_angle_beta 90.00
_cell_angle_gamma 90.00
_symmetry_space_group_name_H-M 'P 1'
_symmetry_Int_Tables_number 1
loop_
_symmetry_equiv_pos_as_xyz
'x,y,z'
loop_
_atom_site_label
_atom_site_type_symbol
_atom_site_fract_x
_atom_site_fract_y
_atom_site_fract_z
La1 La 0.0000 0.0000 0.5000
La2 La 0.0000 0.5000 0.0000
La3 La 0.5000 0.0000 0.0000
Cl1 Cl 0.0000 0.0000 0.0000
O1 O 0.5000 0.5000 0.5000
```

D(E_F)	1.68	states/eV/atom
volume	151.4	Å³/cell
E_form (uncorrected)	-0.25	eV/atom

---

Record 4
The following is a PBE calculation of La2ClO after structural relaxation, from Alexandria via LeMat-Bulk.

```
data_La2ClO
_chemical_formula_sum 'La6 Cl3 O3'
_cell_length_a 3.5628
_cell_length_b 3.5628
_cell_length_c 23.2991
_cell_angle_alpha 90.00
_cell_angle_beta 90.00
_cell_angle_gamma 120.00
_symmetry_space_group_name_H-M 'P 1'
_symmetry_Int_Tables_number 1
loop_
_symmetry_equiv_pos_as_xyz
'x,y,z'
loop_
_atom_site_label
_atom_site_type_symbol
_atom_site_fract_x
_atom_site_fract_y
_atom_site_fract_z
La1 La 0.0000 0.0000 0.0000
La2 La 0.0000 0.0000 0.1433
La3 La 0.3333 0.6667 0.6667
La4 La 0.3333 0.6667 0.8099
La5 La 0.6667 0.3333 0.3333
La6 La 0.6667 0.3333 0.4766
Cl1 Cl 0.0000 0.0000 0.5714
Cl2 Cl 0.3333 0.6667 0.2381
Cl3 Cl 0.6667 0.3333 0.9047
O1 O 0.0000 0.0000 0.7370
O2 O 0.3333 0.6667 0.4037
O3 O 0.6667 0.3333 0.0703
```

relative energy among the computed polymorphs	0.2202	eV per atom
D(E_F)	0.84	states/eV/atom
volume	256.1	Å³/cell
E_form (uncorrected)	-1.97	eV/atom

---

Record 5
The following is a PBE calculation of La2ClO after structural relaxation, from Alexandria via LeMat-Bulk.

```
data_La2ClO
_chemical_formula_sum 'La6 Cl3 O3'
_cell_length_a 3.7354
_cell_length_b 3.7354
_cell_length_c 20.9762
_cell_angle_alpha 90.00
_cell_angle_beta 90.00
_cell_angle_gamma 120.00
_symmetry_space_group_name_H-M 'P 1'
_symmetry_Int_Tables_number 1
loop_
_symmetry_equiv_pos_as_xyz
'x,y,z'
loop_
_atom_site_label
_atom_site_type_symbol
_atom_site_fract_x
_atom_site_fract_y
_atom_site_fract_z
La1 La 0.0000 0.0000 0.2331
La2 La 0.0000 0.0000 0.7669
La3 La 0.3333 0.6667 0.4336
La4 La 0.3333 0.6667 0.8998
La5 La 0.6667 0.3333 0.1002
La6 La 0.6667 0.3333 0.5664
Cl1 Cl 0.0000 0.0000 0.0000
Cl2 Cl 0.3333 0.6667 0.6667
Cl3 Cl 0.6667 0.3333 0.3333
O1 O 0.0000 0.0000 0.5000
O2 O 0.3333 0.6667 0.1667
O3 O 0.6667 0.3333 0.8333
```

relative energy among the computed polymorphs	0.0000	eV per atom
D(E_F)	0.62	states/eV/atom
volume	253.5	Å³/cell
E_form (uncorrected)	-2.19	eV/atom

---

Record 6
The following is a PBE calculation of LaCl3O after structural relaxation, from Alexandria via LeMat-Bulk.

```
data_LaCl3O
_chemical_formula_sum 'La1 Cl3 O1'
_cell_length_a 4.6568
_cell_length_b 4.6568
_cell_length_c 4.6568
_cell_angle_alpha 90.00
_cell_angle_beta 90.00
_cell_angle_gamma 90.00
_symmetry_space_group_name_H-M 'P 1'
_symmetry_Int_Tables_number 1
loop_
_symmetry_equiv_pos_as_xyz
'x,y,z'
loop_
_atom_site_label
_atom_site_type_symbol
_atom_site_fract_x
_atom_site_fract_y
_atom_site_fract_z
La1 La 0.0000 0.0000 0.0000
Cl1 Cl 0.0000 0.5000 0.5000
Cl2 Cl 0.5000 0.0000 0.5000
Cl3 Cl 0.5000 0.5000 0.0000
O1 O 0.5000 0.5000 0.5000
```

relative energy among the computed polymorphs	0.4716	eV per atom
D(E_F)	0.82	states/eV/atom
volume	101.0	Å³/cell
E_form (uncorrected)	-0.73	eV/atom

---

Record 7
The following is a PBE calculation of La2ClO after structural relaxation, from Alexandria via LeMat-Bulk.

```
data_La2ClO
_chemical_formula_sum 'La8 Cl4 O4'
_cell_length_a 5.5973
_cell_length_b 5.5973
_cell_length_c 10.7385
_cell_angle_alpha 90.00
_cell_angle_beta 90.00
_cell_angle_gamma 90.00
_symmetry_space_group_name_H-M 'P 1'
_symmetry_Int_Tables_number 1
loop_
_symmetry_equiv_pos_as_xyz
'x,y,z'
loop_
_atom_site_label
_atom_site_type_symbol
_atom_site_fract_x
_atom_site_fract_y
_atom_site_fract_z
La1 La 0.0000 0.2500 0.1042
La2 La 0.0000 0.2500 0.6458
La3 La 0.0000 0.7500 0.3542
La4 La 0.0000 0.7500 0.8958
La5 La 0.5000 0.2500 0.3958
La6 La 0.5000 0.2500 0.8542
La7 La 0.5000 0.7500 0.1458
La8 La 0.5000 0.7500 0.6042
Cl1 Cl 0.0000 0.2500 0.3750
Cl2 Cl 0.0000 0.7500 0.6250
Cl3 Cl 0.5000 0.2500 0.1250
Cl4 Cl 0.5000 0.7500 0.8750
O1 O 0.0000 0.2500 0.8750
O2 O 0.0000 0.7500 0.1250
O3 O 0.5000 0.2500 0.6250
O4 O 0.5000 0.7500 0.3750
```

relative energy among the computed polymorphs	0.1163	eV per atom
D(E_F)	0.53	states/eV/atom
volume	336.4	Å³/cell
E_form (uncorrected)	-2.07	eV/atom

---

Record 8
The following is a PBE calculation of La3ClO3 after structural relaxation, from Alexandria via LeMat-Bulk.

```
data_La3ClO3
_chemical_formula_sum 'La6 Cl2 O6'
_cell_length_a 8.1774
_cell_length_b 8.1774
_cell_length_c 8.1774
_cell_angle_alpha 51.29
_cell_angle_beta 51.29
_cell_angle_gamma 51.29
_symmetry_space_group_name_H-M 'P 1'
_symmetry_Int_Tables_number 1
loop_
_symmetry_equiv_pos_as_xyz
'x,y,z'
loop_
_atom_site_label
_atom_site_type_symbol
_atom_site_fract_x
_atom_site_fract_y
_atom_site_fract_z
La1 La 0.0764 0.4084 0.7179
La2 La 0.2821 0.9236 0.5916
La3 La 0.4084 0.7179 0.0764
La4 La 0.5916 0.2821 0.9236
La5 La 0.7179 0.0764 0.4084
La6 La 0.9236 0.5916 0.2821
Cl1 Cl 0.1669 0.1669 0.1669
Cl2 Cl 0.8331 0.8331 0.8331
O1 O 0.0407 0.7297 0.3670
O2 O 0.2703 0.6330 0.9593
O3 O 0.3670 0.0407 0.7297
O4 O 0.6330 0.9593 0.2703
O5 O 0.7297 0.3670 0.0407
O6 O 0.9593 0.2703 0.6330
```

D(E_F)	0.32	states/eV/atom
volume	307.3	Å³/cell
E_form (uncorrected)	-2.96	eV/atom

---

Question: What is the volume in the seventh record?
Answer: 336.4 Å³/cell

---

Question: What is the volume in the eighth record?
Answer: 307.3 Å³/cell

---

Question: Which of these has the highest E_form (uncorrected)?
Answer: La3ClO